Material: ZrScIn2Os
Method: DFT, PBE-GGA
State: optimized geometry

a = 5.2319 Å, b = 4.8029 Å, c = 5.2319 Å
α = 90.00°, β = 90.00°, γ = 90.00°
With the nearest neighbours (Å) after each atom.
Positions (direct):
Sc: 0.0000 0.0000 0.0000  2 Zr 2.40, 4 In 2.62
Os: 0.5000 0.5000 0.5000  8 In 3.55, 4 Zr 3.70
Zr: 0.0000 0.5000 0.0000  2 Sc 2.40
In: 0.0000 0.0000 0.5000  2 Sc 2.62
In: 0.5000 0.0000 0.0000  2 Sc 2.62

Calculated values
* uncorrected energy: -23.14 eV for the cell shown